[1]
Density functional theory data (PBE) for a relaxed structure of La8Ir2OsPd.

```
data_La8Ir2OsPd
_cell_length_a 6.7890
_cell_length_b 8.6538
_cell_length_c 6.9026
_cell_angle_alpha 90.00
_cell_angle_beta 90.06
_cell_angle_gamma 90.00
_space_group_name_H-M_alt 'P 1 2/m 1'
_space_group_IT_number 10
_space_group_name_Hall '-P 2y'
loop_
_atom_site_label
_atom_site_type_symbol
_atom_site_fract_x
_atom_site_fract_y
_atom_site_fract_z
La1 La 0.2202 0.0000 0.3393
La2 La 0.2274 0.5000 0.3292
La3 La 0.2716 0.2607 0.8310
Ir1 Ir 0.0000 0.2491 0.5000
Os1 Os 0.5000 0.5000 0.0000
Pd1 Pd 0.5000 0.0000 0.0000
```

Output
Uncorrected energy (eV per atom): -6.60

=====

[2]
Density functional theory data (PBE) for a relaxed structure of U2Ni4Ge3Ir.

```
data_U2Ni4Ge3Ir
_cell_length_a 3.8297
_cell_length_b 3.8297
_cell_length_c 10.7865
_cell_angle_alpha 90.00
_cell_angle_beta 90.00
_cell_angle_gamma 90.00
_space_group_name_H-M_alt 'P -4 m 2'
_space_group_IT_number 115
_space_group_name_Hall 'P -4 -2'
loop_
_atom_site_label
_atom_site_type_symbol
_atom_site_fract_x
_atom_site_fract_y
_atom_site_fract_z
U1 U 0.0000 0.5000 0.2409
Ni1 Ni 0.0000 0.0000 0.5000
Ni2 Ni 0.0000 0.5000 0.8417
Ni3 Ni 0.5000 0.5000 0.5000
Ge1 Ge 0.0000 0.0000 0.0000
Ge2 Ge 0.0000 0.5000 0.6263
Ir1 Ir 0.5000 0.5000 0.0000
```

Output
Uncorrected energy (eV per atom): -7.19

=====

[3]
Density functional theory data (PBE) for a relaxed structure of NaH3N.

```
data_NaH3N
_cell_length_a 3.1988
_cell_length_b 3.1988
_cell_length_c 3.1988
_cell_angle_alpha 90.00
_cell_angle_beta 90.00
_cell_angle_gamma 90.00
_space_group_name_H-M_alt 'P m -3 m'
_space_group_IT_number 221
_space_group_name_Hall '-P 4 2 3'
loop_
_atom_site_label
_atom_site_type_symbol
_atom_site_fract_x
_atom_site_fract_y
_atom_site_fract_z
Na1 Na 0.0000 0.0000 0.0000
H1 H 0.0000 0.5000 0.5000
N1 N 0.5000 0.5000 0.5000
```

Output
Relative energy among the computed polymorphs (eV/atom): 0.907
Uncorrected energy (eV per atom): -3.28

=====

[4]
Density functional theory data (PBE) for a relaxed structure of Tb2Dy7Tm.

```
data_Tb2Dy7Tm
_cell_length_a 8.6179
_cell_length_b 17.3168
_cell_length_c 5.0892
_cell_angle_alpha 90.00
_cell_angle_beta 90.00
_cell_angle_gamma 90.00
_space_group_name_H-M_alt 'C m m m'
_space_group_IT_number 65
_space_group_name_Hall '-C 2 2'
loop_
_atom_site_label
_atom_site_type_symbol
_atom_site_fract_x
_atom_site_fract_y
_atom_site_fract_z
Tb1 Tb 0.0000 0.2016 0.0000
Dy1 Dy 0.0000 0.0000 0.0000
Dy2 Dy 0.0000 0.3056 0.5000
Dy3 Dy 0.1800 0.3935 0.0000
Tm1 Tm 0.0000 0.5000 0.5000
```

Output
Relative energy among the computed polymorphs (eV/atom): 0.675
Uncorrected energy (eV per atom): -3.90

=====

[5]
Density functional theory data (PBE) for a relaxed structure of SnGeS.

```
data_SnGeS
_cell_length_a 4.2870
_cell_length_b 3.7604
_cell_length_c 9.1929
_cell_angle_alpha 90.00
_cell_angle_beta 102.83
_cell_angle_gamma 90.00
_space_group_name_H-M_alt 'P 1 m 1'
_space_group_IT_number 6
_space_group_name_Hall 'P -2y'
loop_
_atom_site_label
_atom_site_type_symbol
_atom_site_fract_x
_atom_site_fract_y
_atom_site_fract_z
Sn1 Sn 0.0000 0.0000 0.0000
Sn2 Sn 0.0202 0.0000 0.4231
Ge1 Ge 0.2500 0.0000 0.7295
Ge2 Ge 0.4963 0.5000 0.3578
S1 S 0.4436 0.5000 0.1006
S2 S 0.6092 0.5000 0.7366
```

Output
Relative energy among the computed polymorphs (eV/atom): 0.014
Uncorrected energy (eV per atom): -4.37

=====

[6]
Density functional theory data (PBE) for a relaxed structure of AlMoIr2.

```
data_AlMoIr2
_cell_length_a 5.6419
_cell_length_b 5.6419
_cell_length_c 11.0063
_cell_angle_alpha 90.00
_cell_angle_beta 90.00
_cell_angle_gamma 90.00
_space_group_name_H-M_alt 'I -4 2 d'
_space_group_IT_number 122
_space_group_name_Hall 'I -4 2bw'
loop_
_atom_site_label
_atom_site_type_symbol
_atom_site_fract_x
_atom_site_fract_y
_atom_site_fract_z
Al1 Al 0.0000 0.0000 0.0000
Mo1 Mo 0.0000 0.0000 0.5000
Ir1 Ir 0.2489 0.2500 0.6250
```

Output
Relative energy among the computed polymorphs (eV/atom): 1.155
Uncorrected energy (eV per atom): -7.53

=====

[7]
Density functional theory data (PBE) for a relaxed structure of CdRuBr2.

```
data_CdRuBr2
_cell_length_a 7.1727
_cell_length_b 7.1727
_cell_length_c 7.1727
_cell_angle_alpha 90.00
_cell_angle_beta 90.00
_cell_angle_gamma 90.00
_space_group_name_H-M_alt 'F -4 3 m'
_space_group_IT_number 216
_space_group_name_Hall 'F -4 2 3'
loop_
_atom_site_label
_atom_site_type_symbol
_atom_site_fract_x
_atom_site_fract_y
_atom_site_fract_z
Cd1 Cd 0.0000 0.0000 0.0000
Ru1 Ru 0.2500 0.2500 0.7500
Br1 Br 0.0000 0.0000 0.5000
Br2 Br 0.2500 0.2500 0.2500
```

Output
Relative energy among the computed polymorphs (eV/atom): 0.826
Uncorrected energy (eV per atom): -2.59

=====

[8]
Density functional theory data (PBE) for a relaxed structure of La6Rh2BrCl3.

```
data_La6Rh2BrCl3
_cell_length_a 7.5237
_cell_length_b 12.8530
_cell_length_c 7.4692
_cell_angle_alpha 90.00
_cell_angle_beta 109.51
_cell_angle_gamma 90.00
_space_group_name_H-M_alt 'C 1 2/m 1'
_space_group_IT_number 12
_space_group_name_Hall '-C 2y'
loop_
_atom_site_label
_atom_site_type_symbol
_atom_site_fract_x
_atom_site_fract_y
_atom_site_fract_z
La1 La 0.2078 0.0000 0.2199
La2 La 0.2378 0.1838 0.7650
Rh1 Rh 0.0000 0.1689 0.0000
Br1 Br 0.0000 0.5000 0.0000
Cl1 Cl 0.0000 0.0000 0.5000
Cl2 Cl 0.0000 0.3533 0.5000
```

Output
Uncorrected energy (eV per atom): -5.60

=====

[9]
Density functional theory data (PBE) for a relaxed structure of BaPI.

```
data_BaPI
_cell_length_a 5.0360
_cell_length_b 5.1182
_cell_length_c 20.1845
_cell_angle_alpha 90.00
_cell_angle_beta 90.00
_cell_angle_gamma 90.00
_space_group_name_H-M_alt 'I m m m'
_space_group_IT_number 71
_space_group_name_Hall '-I 2 2'
loop_
_atom_site_label
_atom_site_type_symbol
_atom_site_fract_x
_atom_site_fract_y
_atom_site_fract_z
Ba1 Ba 0.0000 0.0000 0.1348
P1 P 0.0000 0.3005 0.0000
I1 I 0.0000 0.0000 0.3199
```

Output
Relative energy among the computed polymorphs (eV/atom): 0.140
Uncorrected energy (eV per atom): -3.95

=====

[10]
Density functional theory data (PBE) for a relaxed structure of PrPuTi.

```
data_PrPuTi
_cell_length_a 3.4409
_cell_length_b 3.4409
_cell_length_c 26.9113
_cell_angle_alpha 90.00
_cell_angle_beta 90.00
_cell_angle_gamma 90.00
_space_group_name_H-M_alt 'I 4/m m m'
_space_group_IT_number 139
_space_group_name_Hall '-I 4 2'
loop_
_atom_site_label
_atom_site_type_symbol
_atom_site_fract_x
_atom_site_fract_y
_atom_site_fract_z
Pr1 Pr 0.0000 0.0000 0.0665
Pu1 Pu 0.0000 0.0000 0.3419
Ti1 Ti 0.0000 0.0000 0.2246
```

Output
Uncorrected energy (eV per atom): -8.75

=====

[11]
Density functional theory data (PBE) for a relaxed structure of Er7Ga5Hg.

```
data_Er7Ga5Hg
_cell_length_a 11.9141
_cell_length_b 10.0080
_cell_length_c 6.1978
_cell_angle_alpha 90.00
_cell_angle_beta 121.21
_cell_angle_gamma 90.00
_space_group_name_H-M_alt 'C 1 m 1'
_space_group_IT_number 8
_space_group_name_Hall 'C -2y'
loop_
_atom_site_label
_atom_site_type_symbol
_atom_site_fract_x
_atom_site_fract_y
_atom_site_fract_z
Er1 Er 0.0000 0.0000 0.0000
Er2 Er 0.0095 0.5000 0.0084
Er3 Er 0.2228 0.3197 0.7217
Er4 Er 0.2497 0.1787 0.2478
Er5 Er 0.3783 0.5000 0.3792
Ga1 Ga 0.4820 0.2548 0.7268
Ga2 Ga 0.4828 0.2549 0.2361
Ga3 Ga 0.4891 0.0000 0.4879
Hg1 Hg 0.1950 0.0000 0.6965
```

Output
Uncorrected energy (eV per atom): -4.02

=====

[12]
Density functional theory data (PBE) for a relaxed structure of KLiGeAu.

```
data_KLiGeAu
_cell_length_a 7.8793
_cell_length_b 4.4943
_cell_length_c 6.5515
_cell_angle_alpha 90.00
_cell_angle_beta 113.52
_cell_angle_gamma 90.00
_space_group_name_H-M_alt 'C 1 m 1'
_space_group_IT_number 8
_space_group_name_Hall 'C -2y'
loop_
_atom_site_label
_atom_site_type_symbol
_atom_site_fract_x
_atom_site_fract_y
_atom_site_fract_z
K1 K 0.0000 0.0000 0.0000
Li1 Li 0.1778 0.0000 0.5363
Ge1 Ge 0.4804 0.0000 0.4404
Au1 Au 0.3099 0.5000 0.4342
```

Output
Uncorrected energy (eV per atom): -3.07

=====

[13]
Density functional theory data (PBE) for a relaxed structure of Ac8Rh3Au.

```
data_Ac8Rh3Au
_cell_length_a 14.3445
_cell_length_b 8.9139
_cell_length_c 8.4366
_cell_angle_alpha 90.00
_cell_angle_beta 121.49
_cell_angle_gamma 90.00
_space_group_name_H-M_alt 'C 1 2/m 1'
_space_group_IT_number 12
_space_group_name_Hall '-C 2y'
loop_
_atom_site_label
_atom_site_type_symbol
_atom_site_fract_x
_atom_site_fract_y
_atom_site_fract_z
Ac1 Ac 0.0088 0.2359 0.2544
Ac2 Ac 0.2451 0.0000 0.7273
Ac3 Ac 0.2473 0.0000 0.2533
Rh1 Rh 0.0000 0.0000 0.0000
Rh2 Rh 0.2500 0.2500 0.5000
Au1 Au 0.0000 0.5000 0.0000
```

Output
Uncorrected energy (eV per atom): -5.39

=====

[14]
Density functional theory data (PBE) for a relaxed structure of Sm2Zn3Pd4.

```
data_Sm2Zn3Pd4
_cell_length_a 5.6448
_cell_length_b 15.4134
_cell_length_c 7.6445
_cell_angle_alpha 90.00
_cell_angle_beta 90.00
_cell_angle_gamma 90.00
_space_group_name_H-M_alt 'C m c e'
_space_group_IT_number 64
_space_group_name_Hall '-C 2ac 2'
loop_
_atom_site_label
_atom_site_type_symbol
_atom_site_fract_x
_atom_site_fract_y
_atom_site_fract_z
Sm1 Sm 0.0000 0.1139 0.0797
Zn1 Zn 0.0000 0.0000 0.5000
Zn2 Zn 0.2500 0.2272 0.7500
Pd1 Pd 0.0000 0.1771 0.4774
Pd2 Pd 0.2500 0.0587 0.7500
```

Output
Uncorrected energy (eV per atom): -4.49

=====

[15]
Density functional theory data (PBE) for a relaxed structure of SrNiAs2.

```
data_SrNiAs2
_cell_length_a 6.8818
_cell_length_b 3.9583
_cell_length_c 6.5206
_cell_angle_alpha 90.00
_cell_angle_beta 110.37
_cell_angle_gamma 90.00
_space_group_name_H-M_alt 'C 1 2/m 1'
_space_group_IT_number 12
_space_group_name_Hall '-C 2y'
loop_
_atom_site_label
_atom_site_type_symbol
_atom_site_fract_x
_atom_site_fract_y
_atom_site_fract_z
Sr1 Sr 0.0000 0.0000 0.0000
Ni1 Ni 0.0000 0.5000 0.5000
As1 As 0.2196 0.0000 0.6578
```

Output
Uncorrected energy (eV per atom): -4.74

=====

[16]
Density functional theory data (PBE) for a relaxed structure of Y3MgW.

```
data_Y3MgW
_cell_length_a 5.4094
_cell_length_b 5.4094
_cell_length_c 5.4094
_cell_angle_alpha 90.00
_cell_angle_beta 90.00
_cell_angle_gamma 90.00
_space_group_name_H-M_alt 'P m -3 m'
_space_group_IT_number 221
_space_group_name_Hall '-P 4 2 3'
loop_
_atom_site_label
_atom_site_type_symbol
_atom_site_fract_x
_atom_site_fract_y
_atom_site_fract_z
Y1 Y 0.0000 0.0000 0.5000
Mg1 Mg 0.0000 0.0000 0.0000
W1 W 0.5000 0.5000 0.5000
```

Output
Relative energy among the computed polymorphs (eV/atom): 0.957
Uncorrected energy (eV per atom): -5.28

=====

[17]
Density functional theory data (PBE) for a relaxed structure of Nd2As3PPd4.

```
data_Nd2As3PPd4
_cell_length_a 4.4203
_cell_length_b 4.4203
_cell_length_c 9.8124
_cell_angle_alpha 90.00
_cell_angle_beta 90.00
_cell_angle_gamma 90.00
_space_group_name_H-M_alt 'P -4 m 2'
_space_group_IT_number 115
_space_group_name_Hall 'P -4 -2'
loop_
_atom_site_label
_atom_site_type_symbol
_atom_site_fract_x
_atom_site_fract_y
_atom_site_fract_z
Nd1 Nd 0.0000 0.5000 0.2440
As1 As 0.0000 0.0000 0.0000
As2 As 0.0000 0.5000 0.6338
P1 P 0.5000 0.5000 0.0000
Pd1 Pd 0.0000 0.0000 0.5000
Pd2 Pd 0.0000 0.5000 0.8868
Pd3 Pd 0.5000 0.5000 0.5000
```

Output
Uncorrected energy (eV per atom): -5.85

=====

[18]
Density functional theory data (PBE) for a relaxed structure of Sc4SiTe3.

```
data_Sc4SiTe3
_cell_length_a 7.1468
_cell_length_b 8.2372
_cell_length_c 7.0332
_cell_angle_alpha 90.00
_cell_angle_beta 109.15
_cell_angle_gamma 90.00
_space_group_name_H-M_alt 'P 1 2/c 1'
_space_group_IT_number 13
_space_group_name_Hall '-P 2yc'
loop_
_atom_site_label
_atom_site_type_symbol
_atom_site_fract_x
_atom_site_fract_y
_atom_site_fract_z
Sc1 Sc 0.2187 0.1121 0.0021
Sc2 Sc 0.2281 0.3414 0.4742
Si1 Si 0.0000 0.1149 0.2500
Te1 Te 0.0000 0.3817 0.7500
Te2 Te 0.5000 0.1220 0.7500
Te3 Te 0.5000 0.3819 0.2500
```

Output
Uncorrected energy (eV per atom): -6.10

=====

[19]
Density functional theory data (PBE) for a relaxed structure of Cs3Sc5I12.

```
data_Cs3Sc5I12
_cell_length_a 19.4718
_cell_length_b 19.4718
_cell_length_c 19.4718
_cell_angle_alpha 90.00
_cell_angle_beta 90.00
_cell_angle_gamma 90.00
_space_group_name_H-M_alt 'I a -3 d'
_space_group_IT_number 230
_space_group_name_Hall '-I 4bd 2c 3'
loop_
_atom_site_label
_atom_site_type_symbol
_atom_site_fract_x
_atom_site_fract_y
_atom_site_fract_z
Cs1 Cs 0.0000 0.2500 0.1250
Sc1 Sc 0.0000 0.0000 0.0000
Sc2 Sc 0.0000 0.2500 0.3750
I1 I 0.0367 0.0485 0.6425
```

Output
Uncorrected energy (eV per atom): -3.66

=====

[20]
Density functional theory data (PBE) for a relaxed structure of BePb2Br.

```
data_BePb2Br
_cell_length_a 3.4643
_cell_length_b 3.4643
_cell_length_c 8.4454
_cell_angle_alpha 90.00
_cell_angle_beta 90.00
_cell_angle_gamma 90.00
_space_group_name_H-M_alt 'P 4/m m m'
_space_group_IT_number 123
_space_group_name_Hall '-P 4 2'
loop_
_atom_site_label
_atom_site_type_symbol
_atom_site_fract_x
_atom_site_fract_y
_atom_site_fract_z
Be1 Be 0.0000 0.0000 0.0000
Pb1 Pb 0.5000 0.5000 0.2146
Br1 Br 0.0000 0.0000 0.5000
```

Output
Relative energy among the computed polymorphs (eV/atom): 0.100
Uncorrected energy (eV per atom): -2.99